i.
# La5Pr4Sm2

A relaxed La5Pr4Sm2 crystal (PBE, Alexandria via LeMat-Bulk).

D(E_F) = 34.8 states/eV/cell
spin magnetization = 0.00 μB/cell

```
data_La5Pr4Sm2
_chemical_formula_sum 'La10 Pr8 Sm4'
_space_group_name_H-M_alt 'C 1 2/m 1'
_space_group_IT_number 12
_cell_length_a 24.8943
_cell_length_b 3.6284
_cell_length_c 8.9655
_cell_angle_alpha 90.00
_cell_angle_beta 94.74
_cell_angle_gamma 90.00
loop_
_space_group_symop_operation_xyz
'x,y,z'
'-x,-y,-z'
'-x,y,-z'
'x,-y,z'
'x+1/2,y+1/2,z'
'-x+1/2,-y+1/2,-z'
'-x+1/2,y+1/2,-z'
'x+1/2,-y+1/2,z'
loop_
_atom_site_label
_atom_site_type_symbol
_atom_site_fract_x
_atom_site_fract_y
_atom_site_fract_z
La1 La 0.0000 0.0000 0.0000
La2 La 0.1332 0.5000 0.0513
La3 La 0.1845 0.5000 0.4724
Pr1 Pr 0.0420 0.5000 0.3450
Pr2 Pr 0.0879 0.0000 0.6977
Sm1 Sm 0.2273 0.0000 0.8264
```



ii.
# La5Pr4Sm2

A relaxed La5Pr4Sm2 crystal (PBE, Alexandria via LeMat-Bulk).

D(E_F) = 37.8 states/eV/cell
spin magnetization = 0.00 μB/cell

```
data_La5Pr4Sm2
_chemical_formula_sum 'La10 Pr8 Sm4'
_space_group_name_H-M_alt 'C 1 2/m 1'
_space_group_IT_number 12
_cell_length_a 24.7293
_cell_length_b 3.5593
_cell_length_c 9.1104
_cell_angle_alpha 90.00
_cell_angle_beta 96.84
_cell_angle_gamma 90.00
loop_
_space_group_symop_operation_xyz
'x,y,z'
'-x,-y,-z'
'-x,y,-z'
'x,-y,z'
'x+1/2,y+1/2,z'
'-x+1/2,-y+1/2,-z'
'-x+1/2,y+1/2,-z'
'x+1/2,-y+1/2,z'
loop_
_atom_site_label
_atom_site_type_symbol
_atom_site_fract_x
_atom_site_fract_y
_atom_site_fract_z
La1 La 0.0000 0.0000 0.0000
La2 La 0.1407 0.5000 0.1104
La3 La 0.2298 0.5000 0.8249
Pr1 Pr 0.0461 0.5000 0.3626
Pr2 Pr 0.1778 0.0000 0.4727
Sm1 Sm 0.0910 0.5000 0.7297
```



The most stable of them is i.



i.
# La2Pr7Sm

A relaxed La2Pr7Sm crystal (PBE, Alexandria via LeMat-Bulk).

D(E_F) = 32.7 states/eV/cell
spin magnetization = 0.00 μB/cell

```
data_La2Pr7Sm
_chemical_formula_sum 'La4 Pr14 Sm2'
_space_group_name_H-M_alt 'C m m m'
_space_group_IT_number 65
_space_group_name_Hall '-C 2 2'
_cell_length_a 6.8916
_cell_length_b 29.8419
_cell_length_c 3.5439
_cell_angle_alpha 90.00
_cell_angle_beta 90.00
_cell_angle_gamma 90.00
loop_
_atom_site_label
_atom_site_type_symbol
_atom_site_fract_x
_atom_site_fract_y
_atom_site_fract_z
La1 La 0.0000 0.2035 0.0000
Pr1 Pr 0.0000 0.0000 0.0000
Pr2 Pr 0.0000 0.3102 0.5000
Pr3 Pr 0.2446 0.4011 0.0000
Sm1 Sm 0.0000 0.5000 0.5000
```



ii.
# La2Pr7Sm

A relaxed La2Pr7Sm crystal (PBE, Alexandria via LeMat-Bulk).

D(E_F) = 31.3 states/eV/cell
spin magnetization = 0.00 μB/cell

```
data_La2Pr7Sm
_chemical_formula_sum 'La4 Pr14 Sm2'
_space_group_name_H-M_alt 'C m m m'
_space_group_IT_number 65
_space_group_name_Hall '-C 2 2'
_cell_length_a 12.2239
_cell_length_b 17.1399
_cell_length_c 3.5863
_cell_angle_alpha 90.00
_cell_angle_beta 90.00
_cell_angle_gamma 90.00
loop_
_atom_site_label
_atom_site_type_symbol
_atom_site_fract_x
_atom_site_fract_y
_atom_site_fract_z
La1 La 0.0000 0.1708 0.0000
Pr1 Pr 0.0000 0.3241 0.5000
Pr2 Pr 0.0000 0.5000 0.0000
Pr3 Pr 0.2468 0.3745 0.0000
Sm1 Sm 0.0000 0.0000 0.5000
```



The most stable of them is i.



i.
# La2Pr2Sm5

A relaxed La2Pr2Sm5 crystal (PBE, Alexandria via LeMat-Bulk).

D(E_F) = 30.8 states/eV/cell
spin magnetization = 0.00 μB/cell

```
data_La2Pr2Sm5
_chemical_formula_sum 'La4 Pr4 Sm10'
_space_group_name_H-M_alt 'C 1 2/m 1'
_space_group_IT_number 12
_cell_length_a 18.0379
_cell_length_b 3.5496
_cell_length_c 10.0767
_cell_angle_alpha 90.00
_cell_angle_beta 98.56
_cell_angle_gamma 90.00
loop_
_space_group_symop_operation_xyz
'x,y,z'
'-x,-y,-z'
'-x,y,-z'
'x,-y,z'
'x+1/2,y+1/2,z'
'-x+1/2,-y+1/2,-z'
'-x+1/2,y+1/2,-z'
'x+1/2,-y+1/2,z'
loop_
_atom_site_label
_atom_site_type_symbol
_atom_site_fract_x
_atom_site_fract_y
_atom_site_fract_z
La1 La 0.1638 0.0000 0.2225
Pr1 Pr 0.0044 0.5000 0.6875
Sm1 Sm 0.0000 0.0000 0.0000
Sm2 Sm 0.1703 0.5000 0.5399
Sm3 Sm 0.1738 0.0000 0.8681
```



ii.
# La2Pr2Sm5

A relaxed La2Pr2Sm5 crystal (PBE, Alexandria via LeMat-Bulk).

D(E_F) = 59.9 states/eV/cell
spin magnetization = 0.00 μB/cell

```
data_La2Pr2Sm5
_chemical_formula_sum 'La8 Pr8 Sm20'
_space_group_name_H-M_alt 'I m a 2'
_space_group_IT_number 46
_cell_length_a 15.2275
_cell_length_b 12.1844
_cell_length_c 6.8852
_cell_angle_alpha 90.00
_cell_angle_beta 90.00
_cell_angle_gamma 90.00
loop_
_space_group_symop_operation_xyz
'x,y,z'
'-x,-y,z'
'-x+1/2,y,z'
'x+1/2,-y,z'
'x+1/2,y+1/2,z+1/2'
'-x+1/2,-y+1/2,z+1/2'
'-x,y+1/2,z+1/2'
'x,-y+1/2,z+1/2'
loop_
_atom_site_label
_atom_site_type_symbol
_atom_site_fract_x
_atom_site_fract_y
_atom_site_fract_z
La1 La 0.1258 0.0040 0.0000
Pr1 Pr 0.0000 0.0000 0.5358
Pr2 Pr 0.2500 0.0038 0.4668
Sm1 Sm 0.0535 0.7464 0.8551
Sm2 Sm 0.1430 0.2310 0.6735
Sm3 Sm 0.2500 0.7353 0.6467
```



The most stable of them is i.



i.
# La2PrSm4

A relaxed La2PrSm4 crystal (PBE, Alexandria via LeMat-Bulk).

D(E_F) = 23.2 states/eV/cell
spin magnetization = 0.00 μB/cell

```
data_La2PrSm4
_chemical_formula_sum 'La4 Pr2 Sm8'
_space_group_name_H-M_alt 'P 1 21/m 1'
_space_group_IT_number 11
_cell_length_a 6.3047
_cell_length_b 6.7263
_cell_length_c 11.9378
_cell_angle_alpha 90.00
_cell_angle_beta 104.96
_cell_angle_gamma 90.00
loop_
_space_group_symop_operation_xyz
'x,y,z'
'-x,-y,-z'
'-x,y+1/2,-z'
'x,-y+1/2,z'
loop_
_atom_site_label
_atom_site_type_symbol
_atom_site_fract_x
_atom_site_fract_y
_atom_site_fract_z
La1 La 0.1031 0.2500 0.4963
La2 La 0.3543 0.7500 0.0519
Pr1 Pr 0.4876 0.7500 0.6467
Sm1 Sm 0.1447 0.0036 0.7861
Sm2 Sm 0.2027 0.2500 0.0658
Sm3 Sm 0.3458 0.7500 0.3390
```



ii.
# La2PrSm4

A relaxed La2PrSm4 crystal (PBE, Alexandria via LeMat-Bulk).

D(E_F) = 43.2 states/eV/cell
spin magnetization = 0.00 μB/cell

```
data_La2PrSm4
_chemical_formula_sum 'La8 Pr4 Sm16'
_space_group_name_H-M_alt 'C 1 2/m 1'
_space_group_IT_number 12
_cell_length_a 12.4442
_cell_length_b 11.8082
_cell_length_c 7.1302
_cell_angle_alpha 90.00
_cell_angle_beta 101.11
_cell_angle_gamma 90.00
loop_
_space_group_symop_operation_xyz
'x,y,z'
'-x,-y,-z'
'-x,y,-z'
'x,-y,z'
'x+1/2,y+1/2,z'
'-x+1/2,-y+1/2,-z'
'-x+1/2,y+1/2,-z'
'x+1/2,-y+1/2,z'
loop_
_atom_site_label
_atom_site_type_symbol
_atom_site_fract_x
_atom_site_fract_y
_atom_site_fract_z
La1 La 0.0000 0.0000 0.0000
La2 La 0.0000 0.0000 0.5000
La3 La 0.2500 0.2500 0.0000
Pr1 Pr 0.0000 0.5000 0.0000
Pr2 Pr 0.0000 0.5000 0.5000
Sm1 Sm 0.1119 0.2510 0.3928
Sm2 Sm 0.2498 0.0000 0.2689
Sm3 Sm 0.2496 0.0000 0.7321
```



The most stable of them is i.